# CaGa2CuF | Alexandria | GGA-PBE | optimized geometry
# V = 115.4 Å³/cell
# raw total energy = -3.50 eV/atom
# formation energy from raw total energies = -0.70 eV/atom
data_CaGa2CuF
_cell_length_a 4.409
_cell_length_b 4.409
_cell_length_c 5.937
_cell_angle_alpha 90.00
_cell_angle_beta 90.00
_cell_angle_gamma 90.00
_symmetry_space_group_name_H-M 'P 4/m m m'
_symmetry_Int_Tables_number 123
_symmetry_space_group_name_Hall '-P 4 2'
loop_
_atom_site_label
_atom_site_fract_x
_atom_site_fract_y
_atom_site_fract_z
Ca1 0.000 0.000 0.000
Ga1 0.000 0.500 0.500
Cu1 0.000 0.000 0.500
F1 0.500 0.500 0.000